Entry 1:
Material: Li5MgAg
Method: DFT, PBE-GGA
State: relaxed

```
data_Li5MgAg
_cell_length_a 10.515
_cell_length_b 5.444
_cell_length_c 10.087
_cell_angle_alpha 90.00
_cell_angle_beta 105.72
_cell_angle_gamma 90.00
_symmetry_space_group_name_H-M 'C 1 2/c 1'
_symmetry_Int_Tables_number 15
loop_
_symmetry_equiv_pos_as_xyz
'x,y,z'
'-x,-y,-z'
'-x,y,-z+1/2'
'x,-y,z+1/2'
'x+1/2,y+1/2,z'
'-x+1/2,-y+1/2,-z'
'-x+1/2,y+1/2,-z+1/2'
'x+1/2,-y+1/2,z+1/2'
loop_
_atom_site_label
_atom_site_type_symbol
_atom_site_fract_x
_atom_site_fract_y
_atom_site_fract_z
_atom_site_occupancy
Li1 Li 0.000 0.246 0.250 1
Li2 Li 0.142 0.019 0.534 1
Li3 Li 0.230 0.473 0.181 1
Mg1 Mg 0.000 0.258 0.750 1
Ag1 Ag 0.000 0.500 0.000 1
```

Properties
Energy of formation from the pure elements (meV/atom): -20.8
Calculated total energy (eV/atom): -2.0229
Energy above the most stable polymorph in this dataset (meV per atom): 0

Entry 2:
Material: Co
Method: DFT, PBE-GGA
State: relaxed

```
data_Co
_cell_length_a 6.742
_cell_length_b 6.742
_cell_length_c 6.742
_cell_angle_alpha 90.00
_cell_angle_beta 90.00
_cell_angle_gamma 90.00
_symmetry_space_group_name_H-M 'I m -3 m'
_symmetry_Int_Tables_number 229
_symmetry_space_group_name_Hall '-I 4 2 3'
loop_
_atom_site_label
_atom_site_type_symbol
_atom_site_fract_x
_atom_site_fract_y
_atom_site_fract_z
_atom_site_occupancy
Co1 Co 0.158 0.158 0.158 1
```

Properties
Energy of formation from the pure elements (meV/atom): 1515.1
Calculated total energy (eV/atom): -5.5908
Energy above the most stable polymorph in this dataset (meV per atom): 1515

Entry 3:
Material: La3CdPd
Method: DFT, PBE-GGA
State: relaxed

```
data_La3CdPd
_cell_length_a 10.573
_cell_length_b 15.285
_cell_length_c 4.093
_cell_angle_alpha 90.00
_cell_angle_beta 90.00
_cell_angle_gamma 90.00
_symmetry_space_group_name_H-M 'C m m m'
_symmetry_Int_Tables_number 65
_symmetry_space_group_name_Hall '-C 2 2'
loop_
_atom_site_label
_atom_site_type_symbol
_atom_site_fract_x
_atom_site_fract_y
_atom_site_fract_z
_atom_site_occupancy
La1 La 0.000 0.176 0.000 1
La2 La 0.200 0.387 0.500 1
Cd1 Cd 0.000 0.000 0.500 1
Cd2 Cd 0.000 0.500 0.000 1
Pd1 Pd 0.250 0.250 0.000 1
```

Properties
Energy of formation from the pure elements (meV/atom): -333.8
Calculated total energy (eV/atom): -4.5119
Energy above the most stable polymorph in this dataset (meV per atom): 92

Entry 4:
Material: MnCuNiW2
Method: DFT, PBE-GGA
State: relaxed

```
data_MnCuNiW2
_cell_length_a 4.454
_cell_length_b 4.454
_cell_length_c 4.168
_cell_angle_alpha 90.00
_cell_angle_beta 90.00
_cell_angle_gamma 90.00
_symmetry_space_group_name_H-M 'P 4/m m m'
_symmetry_Int_Tables_number 123
_symmetry_space_group_name_Hall '-P 4 2'
loop_
_atom_site_label
_atom_site_type_symbol
_atom_site_fract_x
_atom_site_fract_y
_atom_site_fract_z
_atom_site_occupancy
Mn1 Mn 0.000 0.000 0.000 1
Cu1 Cu 0.000 0.000 0.500 1
Ni1 Ni 0.500 0.500 0.000 1
W1 W 0.000 0.500 0.500 1
```

Properties
Energy of formation from the pure elements (meV/atom): 1926.2
Calculated total energy (eV/atom): -7.0644

Entry 5:
Material: CrCdBr2
Method: DFT, PBE-GGA
State: relaxed

```
data_CrCdBr2
_cell_length_a 3.7593
_cell_length_b 3.7593
_cell_length_c 30.0020
_cell_angle_alpha 90.00
_cell_angle_beta 90.00
_cell_angle_gamma 120.00
_symmetry_space_group_name_H-M 'R -3 m'
_symmetry_Int_Tables_number 166
_symmetry_space_group_name_Hall '-R 3 2"'
loop_
_atom_site_label
_atom_site_type_symbol
_atom_site_fract_x
_atom_site_fract_y
_atom_site_fract_z
_atom_site_occupancy
Cr1 Cr 0.0000 0.0000 0.0000 1
Cd1 Cd 0.0000 0.0000 0.5000 1
Br1 Br 0.0000 0.0000 0.2823 1
```

Properties
Formation energy without anion corrections (eV per atom): -0.31
Calculated total energy (eV/atom): -3.7854
Energy above the most stable polymorph in this dataset (meV per atom): 16

Entry 6:
Material: Y3Fe2Co7
Method: DFT, PBE-GGA
State: relaxed

```
data_Y3Fe2Co7
_cell_length_a 5.0750
_cell_length_b 5.0750
_cell_length_c 23.8292
_cell_angle_alpha 90.00
_cell_angle_beta 90.00
_cell_angle_gamma 120.00
_symmetry_space_group_name_H-M 'R -3 m'
_symmetry_Int_Tables_number 166
_symmetry_space_group_name_Hall '-R 3 2"'
loop_
_atom_site_label
_atom_site_type_symbol
_atom_site_fract_x
_atom_site_fract_y
_atom_site_fract_z
_atom_site_occupancy
Y1 Y 0.0000 0.0000 0.0000 1
Y2 Y 0.0000 0.0000 0.1407 1
Fe1 Fe 0.0000 0.0000 0.3340 1
Co1 Co 0.0000 0.0000 0.5000 1
Co2 Co 0.0016 0.5008 0.9184 1
```

Properties
Energy of formation from the pure elements (meV/atom): -168.9
Calculated total energy (eV/atom): -7.3405

Entry 7:
Material: Cu2TcAgMo
Method: DFT, PBE-GGA
State: relaxed

```
data_Cu2TcAgMo
_cell_length_a 4.708
_cell_length_b 4.708
_cell_length_c 4.524
_cell_angle_alpha 90.00
_cell_angle_beta 90.00
_cell_angle_gamma 90.00
_symmetry_space_group_name_H-M 'P 4/m m m'
_symmetry_Int_Tables_number 123
_symmetry_space_group_name_Hall '-P 4 2'
loop_
_atom_site_label
_atom_site_type_symbol
_atom_site_fract_x
_atom_site_fract_y
_atom_site_fract_z
_atom_site_occupancy
Cu1 Cu 0.000 0.500 0.000 1
Tc1 Tc 0.000 0.000 0.000 1
Ag1 Ag 0.500 0.500 0.500 1
Mo1 Mo 0.000 0.000 0.500 1
```

Properties
Energy of formation from the pure elements (meV/atom): 1346.0
Calculated total energy (eV/atom): -5.1021

Entry 8:
Material: Sm8In2Hg
Method: DFT, PBE-GGA
State: relaxed

```
data_Sm8In2Hg
_cell_length_a 5.418
_cell_length_b 7.444
_cell_length_c 16.749
_cell_angle_alpha 90.00
_cell_angle_beta 90.00
_cell_angle_gamma 90.00
_symmetry_space_group_name_H-M 'I m m m'
_symmetry_Int_Tables_number 71
_symmetry_space_group_name_Hall '-I 2 2'
loop_
_atom_site_label
_atom_site_type_symbol
_atom_site_fract_x
_atom_site_fract_y
_atom_site_fract_z
_atom_site_occupancy
Sm1 Sm 0.000 0.000 0.191 1
Sm2 Sm 0.000 0.230 0.361 1
Sm3 Sm 0.000 0.260 0.000 1
In1 In 0.000 0.500 0.187 1
Hg1 Hg 0.000 0.500 0.500 1
```

Properties
Energy of formation from the pure elements (meV/atom): -192.6
Calculated total energy (eV/atom): -4.1500

Entry 9:
Material: Rb2CrBS4
Method: DFT, PBE-GGA
State: relaxed

```
data_Rb2CrBS4
_cell_length_a 5.734
_cell_length_b 13.117
_cell_length_c 23.518
_cell_angle_alpha 90.00
_cell_angle_beta 90.00
_cell_angle_gamma 90.00
_symmetry_space_group_name_H-M 'F d d d'
_symmetry_Int_Tables_number 70
loop_
_symmetry_equiv_pos_as_xyz
'x,y,z'
'-x,-y,-z'
'-x+1/4,-y+1/4,z'
'x+1/4,y+1/4,-z'
'x,-y+1/4,-z+1/4'
'-x,y+1/4,z+1/4'
'-x+1/4,y,-z+1/4'
'x+1/4,-y,z+1/4'
'x,y+1/2,z+1/2'
'-x,-y+1/2,-z+1/2'
'-x+1/4,-y+3/4,z+1/2'
'x+1/4,y+3/4,-z+1/2'
'x,-y+3/4,-z+3/4'
'-x,y+3/4,z+3/4'
'-x+1/4,y+1/2,-z+3/4'
'x+1/4,-y+1/2,z+3/4'
'x+1/2,y,z+1/2'
'-x+1/2,-y,-z+1/2'
'-x+3/4,-y+1/4,z+1/2'
'x+3/4,y+1/4,-z+1/2'
'x+1/2,-y+1/4,-z+3/4'
'-x+1/2,y+1/4,z+3/4'
'-x+3/4,y,-z+3/4'
'x+3/4,-y,z+3/4'
'x+1/2,y+1/2,z'
'-x+1/2,-y+1/2,-z'
'-x+3/4,-y+3/4,z'
'x+3/4,y+3/4,-z'
'x+1/2,-y+3/4,-z+1/4'
'-x+1/2,y+3/4,z+1/4'
'-x+3/4,y+1/2,-z+1/4'
'x+3/4,-y+1/2,z+1/4'
loop_
_atom_site_label
_atom_site_type_symbol
_atom_site_fract_x
_atom_site_fract_y
_atom_site_fract_z
_atom_site_occupancy
Rb1 Rb 0.125 0.125 0.302 1
Cr1 Cr 0.125 0.125 0.125 1
B1 B 0.125 0.125 0.625 1
S1 S 0.083 0.293 0.829 1
```

Properties
Formation energy without anion corrections (eV per atom): -0.81
Calculated total energy (eV/atom): -5.1559

Entry 10:
Material: Al2GaFe
Method: DFT, PBE-GGA
State: relaxed

```
data_Al2GaFe
_cell_length_a 3.822
_cell_length_b 3.822
_cell_length_c 17.844
_cell_angle_alpha 90.00
_cell_angle_beta 90.00
_cell_angle_gamma 90.00
_symmetry_space_group_name_H-M 'I -4 2 d'
_symmetry_Int_Tables_number 122
_symmetry_space_group_name_Hall 'I -4 2bw'
loop_
_atom_site_label
_atom_site_type_symbol
_atom_site_fract_x
_atom_site_fract_y
_atom_site_fract_z
_atom_site_occupancy
Al1 Al 0.233 0.250 0.125 1
Ga1 Ga 0.000 0.000 0.500 1
Fe1 Fe 0.000 0.000 0.000 1
```

Properties
Energy of formation from the pure elements (meV/atom): 200.7
Calculated total energy (eV/atom): -4.5430

Entry 11:
Material: YNbH
Method: DFT, PBE-GGA
State: relaxed

```
data_YNbH
_cell_length_a 10.754
_cell_length_b 3.356
_cell_length_c 5.468
_cell_angle_alpha 90.00
_cell_angle_beta 90.00
_cell_angle_gamma 90.00
_symmetry_space_group_name_H-M 'A m m 2'
_symmetry_Int_Tables_number 38
loop_
_symmetry_equiv_pos_as_xyz
'x,y,z'
'-x,-y,z'
'-x,y,z'
'x,-y,z'
'x,y+1/2,z+1/2'
'-x,-y+1/2,z+1/2'
'-x,y+1/2,z+1/2'
'x,-y+1/2,z+1/2'
loop_
_atom_site_label
_atom_site_type_symbol
_atom_site_fract_x
_atom_site_fract_y
_atom_site_fract_z
_atom_site_occupancy
Y1 Y 0.150 0.000 0.000 1
Nb1 Nb 0.382 0.000 0.401 1
H1 H 0.000 0.000 0.335 1
H2 H 0.500 0.000 0.071 1
```

Properties
Calculated total energy (eV/atom): -6.4948

Entry 12:
Material: Ac2Pr5Dy3
Method: DFT, PBE-GGA
State: relaxed

```
data_Ac2Pr5Dy3
_cell_length_a 11.026
_cell_length_b 14.830
_cell_length_c 10.605
_cell_angle_alpha 90.00
_cell_angle_beta 121.26
_cell_angle_gamma 90.00
_symmetry_space_group_name_H-M 'C 1 2/c 1'
_symmetry_Int_Tables_number 15
loop_
_symmetry_equiv_pos_as_xyz
'x,y,z'
'-x,-y,-z'
'-x,y,-z+1/2'
'x,-y,z+1/2'
'x+1/2,y+1/2,z'
'-x+1/2,-y+1/2,-z'
'-x+1/2,y+1/2,-z+1/2'
'x+1/2,-y+1/2,z+1/2'
loop_
_atom_site_label
_atom_site_type_symbol
_atom_site_fract_x
_atom_site_fract_y
_atom_site_fract_z
_atom_site_occupancy
Ac1 Ac 0.154 0.127 0.052 1
Pr1 Pr 0.000 0.026 0.250 1
Pr2 Pr 0.000 0.242 0.250 1
Pr3 Pr 0.000 0.491 0.750 1
Pr4 Pr 0.245 0.127 0.744 1
Dy1 Dy 0.000 0.276 0.750 1
Dy2 Dy 0.153 0.374 0.562 1
```

Properties
Energy of formation from the pure elements (meV/atom): 197.8
Calculated total energy (eV/atom): -4.3943

Entry 13:
Material: GdErOsPt
Method: DFT, PBE-GGA
State: relaxed

```
data_GdErOsPt
_cell_length_a 6.890
_cell_length_b 6.890
_cell_length_c 6.890
_cell_angle_alpha 90.00
_cell_angle_beta 90.00
_cell_angle_gamma 90.00
_symmetry_space_group_name_H-M 'F -4 3 m'
_symmetry_Int_Tables_number 216
_symmetry_space_group_name_Hall 'F -4 2 3'
loop_
_atom_site_label
_atom_site_type_symbol
_atom_site_fract_x
_atom_site_fract_y
_atom_site_fract_z
_atom_site_occupancy
Gd1 Gd 0.000 0.000 0.000 1
Er1 Er 0.000 0.000 0.500 1
Os1 Os 0.250 0.250 0.250 1
Pt1 Pt 0.250 0.250 0.750 1
```

Properties
Energy of formation from the pure elements (meV/atom): -643.0
Calculated total energy (eV/atom): -9.6215

Entry 14:
Material: NbHOs2Pd
Method: DFT, PBE-GGA
State: relaxed

```
data_NbHOs2Pd
_cell_length_a 4.868
_cell_length_b 4.868
_cell_length_c 3.204
_cell_angle_alpha 90.00
_cell_angle_beta 90.00
_cell_angle_gamma 90.00
_symmetry_space_group_name_H-M 'P 4/m m m'
_symmetry_Int_Tables_number 123
_symmetry_space_group_name_Hall '-P 4 2'
loop_
_atom_site_label
_atom_site_type_symbol
_atom_site_fract_x
_atom_site_fract_y
_atom_site_fract_z
_atom_site_occupancy
Nb1 Nb 0.000 0.000 0.000 1
H1 H 0.000 0.000 0.500 1
Os1 Os 0.000 0.500 0.000 1
Pd1 Pd 0.500 0.500 0.500 1
```

Properties
Calculated total energy (eV/atom): -7.0440
Energy above the most stable polymorph in this dataset (meV per atom): 1199

Entry 15:
Material: MgZrTl2
Method: DFT, PBE-GGA
State: relaxed

```
data_MgZrTl2
_cell_length_a 4.4743
_cell_length_b 4.4743
_cell_length_c 18.5037
_cell_angle_alpha 90.00
_cell_angle_beta 90.00
_cell_angle_gamma 120.00
_symmetry_space_group_name_H-M 'R 3 m'
_symmetry_Int_Tables_number 160
_symmetry_space_group_name_Hall 'R 3 -2"'
loop_
_atom_site_label
_atom_site_type_symbol
_atom_site_fract_x
_atom_site_fract_y
_atom_site_fract_z
_atom_site_occupancy
Mg1 Mg 0.0000 0.0000 0.0000 1
Zr1 Zr 0.0000 0.0000 0.8134 1
Tl1 Tl 0.0000 0.0000 0.2373 1
Tl2 Tl 0.0000 0.0000 0.4091 1
```

Properties
Energy of formation from the pure elements (meV/atom): 203.1
Calculated total energy (eV/atom): -3.5157

Entry 16:
Material: GeSbRhI2
Method: DFT, PBE-GGA
State: relaxed

```
data_GeSbRhI2
_cell_length_a 5.476
_cell_length_b 5.476
_cell_length_c 5.033
_cell_angle_alpha 90.00
_cell_angle_beta 90.00
_cell_angle_gamma 90.00
_symmetry_space_group_name_H-M 'P 4/m m m'
_symmetry_Int_Tables_number 123
_symmetry_space_group_name_Hall '-P 4 2'
loop_
_atom_site_label
_atom_site_type_symbol
_atom_site_fract_x
_atom_site_fract_y
_atom_site_fract_z
_atom_site_occupancy
Ge1 Ge 0.000 0.000 0.000 1
Sb1 Sb 0.500 0.500 0.000 1
Rh1 Rh 0.500 0.500 0.500 1
I1 I 0.000 0.500 0.500 1
```

Properties
Formation energy without anion corrections (eV per atom): 0.45
Calculated total energy (eV/atom): -3.3890
Energy above the most stable polymorph in this dataset (meV per atom): 0

Entry 17:
Material: La2MgAl2
Method: DFT, PBE-GGA
State: relaxed

```
data_La2MgAl2
_cell_length_a 7.629
_cell_length_b 7.629
_cell_length_c 4.807
_cell_angle_alpha 90.00
_cell_angle_beta 90.00
_cell_angle_gamma 90.00
_symmetry_space_group_name_H-M 'P 4/m b m'
_symmetry_Int_Tables_number 127
_symmetry_space_group_name_Hall '-P 4 2ab'
loop_
_atom_site_label
_atom_site_type_symbol
_atom_site_fract_x
_atom_site_fract_y
_atom_site_fract_z
_atom_site_occupancy
La1 La 0.171 0.329 0.000 1
Mg1 Mg 0.000 0.000 0.500 1
Al1 Al 0.126 0.626 0.500 1
```

Properties
Energy of formation from the pure elements (meV/atom): -292.6
Calculated total energy (eV/atom): -4.0795
Energy above the most stable polymorph in this dataset (meV per atom): 19

Entry 18:
Material: LiP2Au
Method: DFT, PBE-GGA
State: relaxed

```
data_LiP2Au
_cell_length_a 9.254
_cell_length_b 3.832
_cell_length_c 4.431
_cell_angle_alpha 90.00
_cell_angle_beta 98.29
_cell_angle_gamma 90.00
_symmetry_space_group_name_H-M 'C 1 m 1'
_symmetry_Int_Tables_number 8
loop_
_symmetry_equiv_pos_as_xyz
'x,y,z'
'x,-y,z'
'x+1/2,y+1/2,z'
'x+1/2,-y+1/2,z'
loop_
_atom_site_label
_atom_site_type_symbol
_atom_site_fract_x
_atom_site_fract_y
_atom_site_fract_z
_atom_site_occupancy
Li1 Li 0.000 0.000 0.000 1
P1 P 0.187 0.500 0.003 1
P2 P 0.341 0.500 0.423 1
Au1 Au 0.264 0.000 0.707 1
```

Properties
Energy of formation from the pure elements (meV/atom): -253.7
Calculated total energy (eV/atom): -4.2564
Energy above the most stable polymorph in this dataset (meV per atom): 98

Entry 19:
Material: NaAlF2
Method: DFT, PBE-GGA
State: relaxed

```
data_NaAlF2
_cell_length_a 5.463
_cell_length_b 5.463
_cell_length_c 9.988
_cell_angle_alpha 90.00
_cell_angle_beta 90.00
_cell_angle_gamma 90.00
_symmetry_space_group_name_H-M 'I -4 2 d'
_symmetry_Int_Tables_number 122
_symmetry_space_group_name_Hall 'I -4 2bw'
loop_
_atom_site_label
_atom_site_type_symbol
_atom_site_fract_x
_atom_site_fract_y
_atom_site_fract_z
_atom_site_occupancy
Na1 Na 0.000 0.000 0.000 1
Al1 Al 0.000 0.000 0.500 1
F1 F 0.235 0.250 0.125 1
```

Properties
Formation energy without anion corrections (eV per atom): -1.88
Calculated total energy (eV/atom): -4.0842
Energy above the most stable polymorph in this dataset (meV per atom): 456

Entry 20:
Material: VCuAu3
Method: DFT, PBE-GGA
State: relaxed

```
data_VCuAu3
_cell_length_a 4.736
_cell_length_b 4.736
_cell_length_c 4.736
_cell_angle_alpha 90.00
_cell_angle_beta 90.00
_cell_angle_gamma 90.00
_symmetry_space_group_name_H-M 'P m -3 m'
_symmetry_Int_Tables_number 221
_symmetry_space_group_name_Hall '-P 4 2 3'
loop_
_atom_site_label
_atom_site_type_symbol
_atom_site_fract_x
_atom_site_fract_y
_atom_site_fract_z
_atom_site_occupancy
V1 V 0.000 0.000 0.000 1
Cu1 Cu 0.500 0.500 0.500 1
Au1 Au 0.000 0.500 0.500 1
```

Properties
Energy of formation from the pure elements (meV/atom): 723.6
Calculated total energy (eV/atom): -3.8858
Energy above the most stable polymorph in this dataset (meV per atom): 0